Computed, not measured: an optimized crystal structure of USb2Rh at the PBE level of DFT.

Properties
The value obtained for the total energy is -6.637 eV per atom. The volume is 91 Å³/cell. The value obtained for the uncorrected formation energy is 0.084 eV/atom. As for the total magnetic moment: 2.6 Bohr magnetons per cell.

The structure in CIF format:
```
data_USb2Rh
_space_group_name_H-M_alt 'P 1'
_space_group_IT_number 1
_space_group_name_Hall 'P 1'
_cell_length_a 3.207
_cell_length_b 3.207
_cell_length_c 10.412
_cell_angle_alpha 81.14
_cell_angle_beta 81.14
_cell_angle_gamma 60.00
loop_
_atom_site_label
_atom_site_type_symbol
_atom_site_fract_x
_atom_site_fract_y
_atom_site_fract_z
Sb1 Sb 0.102 0.102 0.695
Sb2 Sb 0.898 0.898 0.305
U1 U 0.000 0.000 0.000
Rh1 Rh 0.500 0.500 0.500
```